Below is a relaxed K2BaCu2I6 crystal, with properties calculated at the PBE level.

Unit cell a=7.2017 b=7.2017 c=10.2003 alpha=104.04 beta=104.04 gamma=72.40
Element x y z (fractional)
K (0.1909, 0.1909, 0.1240)
K (0.8091, 0.8091, 0.8760)
Ba (0.0000, 0.0000, 0.5000)
Cu (0.4747, 0.4747, 0.6994)
Cu (0.5253, 0.5253, 0.3006)
I (0.1793, 0.7069, 0.1950)
I (0.2932, 0.2932, 0.4854)
I (0.2931, 0.8207, 0.8050)
I (0.7069, 0.1793, 0.1950)
I (0.7068, 0.7068, 0.5146)
I (0.8207, 0.2931, 0.8050)

Electronic total energy, eV/atom: -2.99
Crystal system: monoclinic
Space group: No. 12
Density, Mg/m³: 3.81
E_form (uncorrected), eV/atom: -1.026



Below is a relaxed K2BaCuI crystal, with properties calculated at the PBE level.

Unit cell a=6.4543 b=6.4543 c=6.8981 alpha=90.00 beta=90.00 gamma=90.00
Element x y z (fractional)
K (0.0000, 0.5000, 0.0000)
K (0.5000, 0.0000, 0.0000)
Ba (0.0000, 0.0000, 0.5000)
Cu (0.5000, 0.5000, 0.5000)
I (0.0000, 0.0000, 0.0000)

Electronic total energy, eV/atom: -1.97
Crystal system: tetragonal
Space group: No. 123
Density, Mg/m³: 2.35
E_form (uncorrected), eV/atom: -0.020



Below is a relaxed KBaCuI4 crystal, with properties calculated at the PBE level.

Unit cell a=7.6969 b=8.0542 c=9.8283 alpha=90.00 beta=107.81 gamma=90.00
Element x y z (fractional)
K (0.2472, 0.2500, 0.4394)
K (0.7528, 0.7500, 0.5606)
Ba (0.2669, 0.2500, 0.9420)
Ba (0.7331, 0.7500, 0.0580)
Cu (0.2746, 0.7500, 0.1876)
Cu (0.7254, 0.2500, 0.8124)
I (0.0868, 0.7500, 0.3706)
I (0.0881, 0.7500, 0.9129)
I (0.4964, 0.5039, 0.7574)
I (0.4964, 0.9961, 0.7574)
I (0.5036, 0.0039, 0.2426)
I (0.5036, 0.4961, 0.2426)
I (0.9119, 0.2500, 0.0871)
I (0.9132, 0.2500, 0.6294)

Electronic total energy, eV/atom: -3.12
Crystal system: monoclinic
Space group: No. 11
Density, Mg/m³: 4.28
E_form (uncorrected), eV/atom: -1.217



Below is a relaxed K2BaCuI5 crystal, with properties calculated at the PBE level.

Unit cell a=11.1857 b=11.1857 c=15.0242 alpha=90.00 beta=90.00 gamma=155.53
Element x y z (fractional)
K (0.1075, 0.8925, 0.5000)
K (0.1078, 0.8922, 0.8369)
K (0.8922, 0.1078, 0.3369)
K (0.8925, 0.1075, 0.0000)
Ba (0.1886, 0.8114, 0.1830)
Ba (0.8114, 0.1886, 0.6830)
Cu (0.4410, 0.5590, 0.5613)
Cu (0.5590, 0.4410, 0.0613)
I (0.0331, 0.9669, 0.1461)
I (0.3018, 0.6982, 0.8477)
I (0.3220, 0.6780, 0.5157)
I (0.3461, 0.6539, 0.1684)
I (0.4979, 0.5021, 0.9117)
I (0.5021, 0.4979, 0.4117)
I (0.6539, 0.3461, 0.6684)
I (0.6780, 0.3220, 0.0157)
I (0.6982, 0.3018, 0.3477)
I (0.9669, 0.0331, 0.6461)

Electronic total energy, eV/atom: -3.03
Crystal system: orthorhombic
Space group: No. 36
Density, Mg/m³: 3.90
E_form (uncorrected), eV/atom: -1.261



Below is a relaxed BaMgCu2I crystal, with properties calculated at the PBE level.

Unit cell a=5.0486 b=5.0486 c=5.8996 alpha=90.00 beta=90.00 gamma=90.00
Element x y z (fractional)
Ba (0.0000, 0.0000, 0.0000)
Mg (0.5000, 0.5000, 0.5000)
Cu (0.0000, 0.5000, 0.5000)
Cu (0.5000, 0.0000, 0.5000)
I (0.5000, 0.5000, 0.0000)

Electronic total energy, eV/atom: -2.70
Crystal system: tetragonal
Space group: No. 123
Density, Mg/m³: 4.59
E_form (uncorrected), eV/atom: -0.044



Below is a relaxed Ba2MgCuI crystal, with properties calculated at the PBE level.

Unit cell a=6.3333 b=6.3333 c=4.9677 alpha=90.00 beta=90.00 gamma=90.00
Element x y z (fractional)
Ba (0.0000, 0.5000, 0.0000)
Ba (0.5000, 0.0000, 0.0000)
Mg (0.0000, 0.0000, 0.5000)
Cu (0.0000, 0.0000, 0.0000)
I (0.5000, 0.5000, 0.5000)

Electronic total energy, eV/atom: -2.63
Crystal system: tetragonal
Space group: No. 123
Density, Mg/m³: 4.08
E_form (uncorrected), eV/atom: -0.413



Below is a relaxed Ba2CuIN crystal, with properties calculated at the PBE level.

Unit cell a=6.2277 b=6.2277 c=3.7047 alpha=90.00 beta=90.00 gamma=90.00
Element x y z (fractional)
Ba (0.0000, 0.5000, 0.0000)
Ba (0.5000, 0.0000, 0.0000)
Cu (0.0000, 0.0000, 0.0000)
I (0.5000, 0.5000, 0.5000)
N (0.0000, 0.0000, 0.5000)

Electronic total energy, eV/atom: -3.92
Crystal system: tetragonal
Space group: No. 123
Density, Mg/m³: 5.54
E_form (uncorrected), eV/atom: -0.352



Below is a relaxed Ba2CuIN crystal, with properties calculated at the PBE level.

Unit cell a=5.9283 b=5.9283 c=3.8651 alpha=90.00 beta=90.00 gamma=90.00
Element x y z (fractional)
Ba (0.0000, 0.5000, 0.0000)
Ba (0.5000, 0.0000, 0.0000)
Cu (0.0000, 0.0000, 0.5000)
I (0.5000, 0.5000, 0.5000)
N (0.0000, 0.0000, 0.0000)

Electronic total energy, eV/atom: -4.17
Crystal system: tetragonal
Space group: No. 123
Density, Mg/m³: 5.86
E_form (uncorrected), eV/atom: -0.605



Below is a relaxed Ba4CuI2N crystal, with properties calculated at the PBE level.

Unit cell a=7.8505 b=4.4996 c=8.7719 alpha=90.00 beta=105.73 gamma=90.00
Element x y z (fractional)
Ba (0.2128, 0.0000, 0.1828)
Ba (0.2220, 0.5000, 0.8088)
Ba (0.7780, 0.5000, 0.1912)
Ba (0.7872, 0.0000, 0.8172)
Cu (0.5000, 0.0000, 0.0000)
I (0.0000, 0.0000, 0.5000)
I (0.5000, 0.5000, 0.5000)
N (0.0000, 0.5000, 0.0000)

Electronic total energy, eV/atom: -3.67
Crystal system: monoclinic
Space group: No. 10
Density, Mg/m³: 4.90
E_form (uncorrected), eV/atom: -0.767



Below is a relaxed BaNaCuI4 crystal, with properties calculated at the PBE level.

Unit cell a=7.6147 b=8.0929 c=9.2054 alpha=90.00 beta=107.94 gamma=90.00
Element x y z (fractional)
Ba (0.2344, 0.2500, 0.0606)
Ba (0.7656, 0.7500, 0.9394)
Na (0.2461, 0.2500, 0.5624)
Na (0.7539, 0.7500, 0.4376)
Cu (0.2206, 0.7500, 0.3079)
Cu (0.7794, 0.2500, 0.6921)
I (0.0053, 0.5028, 0.7444)
I (0.0053, 0.9972, 0.7444)
I (0.4242, 0.7500, 0.1185)
I (0.4397, 0.7500, 0.5909)
I (0.5603, 0.2500, 0.4091)
I (0.5758, 0.2500, 0.8815)
I (0.9947, 0.0028, 0.2556)
I (0.9947, 0.4972, 0.2556)

Electronic total energy, eV/atom: -3.05
Crystal system: monoclinic
Space group: No. 11
Density, Mg/m³: 4.50
E_form (uncorrected), eV/atom: -1.114



Below is a relaxed BaCu2NiI crystal, with properties calculated at the PBE level.

Unit cell a=4.9604 b=4.9604 c=6.6311 alpha=90.00 beta=90.00 gamma=90.00
Element x y z (fractional)
Ba (0.0000, 0.0000, 0.0000)
Cu (0.0000, 0.5000, 0.5000)
Cu (0.5000, 0.0000, 0.5000)
Ni (0.5000, 0.5000, 0.0000)
I (0.0000, 0.0000, 0.5000)

Electronic total energy, eV/atom: -2.66
Crystal system: tetragonal
Space group: No. 123
Density, Mg/m³: 4.58
E_form (uncorrected), eV/atom: 0.834



Below is a relaxed Ba2CuNiI crystal, with properties calculated at the PBE level.

Unit cell a=5.9928 b=5.9928 c=4.6008 alpha=90.00 beta=90.00 gamma=90.00
Element x y z (fractional)
Ba (0.0000, 0.5000, 0.0000)
Ba (0.5000, 0.0000, 0.0000)
Cu (0.0000, 0.0000, 0.5000)
Ni (0.0000, 0.0000, 0.0000)
I (0.5000, 0.5000, 0.5000)

Electronic total energy, eV/atom: -3.46
Crystal system: tetragonal
Space group: No. 123
Density, Mg/m³: 5.26
E_form (uncorrected), eV/atom: -0.404



> Which of these has the lowest density?

K2BaCuI